# GGA-PBEsol LiCa2Ag, relaxed
# - electronic total energy (eV/atom) = -2.4947
# - total moment (μB/cell) = 0.00
# - volume (Å³/cell) = 215.3
# - E_form (eV per atom) = -0.11
# - ΔE to the lowest computed polymorph (eV/f.u.) = 0.157
data_LiCa2Ag
_chemical_formula_sum 'Li2 Ca4 Ag2'
_space_group_name_H-M_alt 'I m m 2'
_space_group_IT_number 44
_cell_length_a 3.6873
_cell_length_b 5.2201
_cell_length_c 11.1865
_cell_angle_alpha 90.00
_cell_angle_beta 90.00
_cell_angle_gamma 90.00
loop_
_space_group_symop_operation_xyz
'x,y,z'
'-x,-y,z'
'-x,y,z'
'x,-y,z'
'x+1/2,y+1/2,z+1/2'
'-x+1/2,-y+1/2,z+1/2'
'-x+1/2,y+1/2,z+1/2'
'x+1/2,-y+1/2,z+1/2'
loop_
_atom_site_label
_atom_site_type_symbol
_atom_site_fract_x
_atom_site_fract_y
_atom_site_fract_z
Li1 Li 0.0000 0.0000 0.0000
Ca1 Ca 0.0000 0.0000 0.4115
Ca2 Ca 0.0000 0.5000 0.2027
Ag1 Ag 0.0000 0.5000 0.6787